Model a:
# SrAs3C (PBE, relaxed)
# volume: 35.585 Å³ per atom
data_SrAs3C
_chemical_formula_sum 'Sr1 As3 C1'
_space_group_name_H-M_alt 'P m -3 m'
_space_group_IT_number 221
_space_group_name_Hall '-P 4 2 3'
_cell_length_a 5.624
_cell_length_b 5.624
_cell_length_c 5.624
_cell_angle_alpha 90.00
_cell_angle_beta 90.00
_cell_angle_gamma 90.00
loop_
_atom_site_label
_atom_site_fract_x
_atom_site_fract_y
_atom_site_fract_z
_atom_site_occupancy
Sr1 0.000 0.000 0.000 1
As1 0.000 0.000 0.500 1
C1 0.500 0.500 0.500 1

---

Model b:
# SrAs3C (PBE, relaxed)
# volume: 19.729 Å³ per atom
data_SrAs3C
_chemical_formula_sum 'Sr1 As3 C1'
_space_group_name_H-M_alt 'P m -3 m'
_space_group_IT_number 221
_space_group_name_Hall '-P 4 2 3'
_cell_length_a 4.621
_cell_length_b 4.621
_cell_length_c 4.621
_cell_angle_alpha 90.00
_cell_angle_beta 90.00
_cell_angle_gamma 90.00
loop_
_atom_site_label
_atom_site_fract_x
_atom_site_fract_y
_atom_site_fract_z
_atom_site_occupancy
Sr1 0.000 0.000 0.000 1
As1 0.000 0.500 0.500 1
C1 0.500 0.500 0.500 1

---

Which structure loses on stability? model a does.

---

Model a:
# Ta2AsC2 (PBE, relaxed)
# volume: 12.083 Å³ per atom
data_Ta2AsC2
_chemical_formula_sum 'Ta4 As2 C4'
_space_group_name_H-M_alt 'P 4/m b m'
_space_group_IT_number 127
_space_group_name_Hall '-P 4 2ab'
_cell_length_a 6.298
_cell_length_b 6.298
_cell_length_c 3.047
_cell_angle_alpha 90.00
_cell_angle_beta 90.00
_cell_angle_gamma 90.00
loop_
_atom_site_label
_atom_site_fract_x
_atom_site_fract_y
_atom_site_fract_z
_atom_site_occupancy
Ta1 0.158 0.342 0.000 1
As1 0.000 0.000 0.500 1
C1 0.134 0.634 0.500 1

---

Model b:
# Ta2AsC2 (PBE, relaxed)
# volume: 12.511 Å³ per atom
data_Ta2AsC2
_chemical_formula_sum 'Ta4 As2 C4'
_space_group_name_H-M_alt 'I 4/m m m'
_space_group_IT_number 139
_space_group_name_Hall '-I 4 2'
_cell_length_a 4.245
_cell_length_b 4.245
_cell_length_c 6.944
_cell_angle_alpha 90.00
_cell_angle_beta 90.00
_cell_angle_gamma 90.00
loop_
_atom_site_label
_atom_site_fract_x
_atom_site_fract_y
_atom_site_fract_z
_atom_site_occupancy
Ta1 0.000 0.500 0.250 1
As1 0.000 0.000 0.000 1
C1 0.000 0.000 0.391 1

---

Which structure loses on stability? model a does.

---

Model a:
# Tc2AsC (PBE, relaxed)
# volume: 12.327 Å³ per atom
data_Tc2AsC
_chemical_formula_sum 'Tc8 As4 C4'
_space_group_name_H-M_alt 'F m -3 m'
_space_group_IT_number 225
_space_group_name_Hall '-F 4 2 3'
_cell_length_a 5.821
_cell_length_b 5.821
_cell_length_c 5.821
_cell_angle_alpha 90.00
_cell_angle_beta 90.00
_cell_angle_gamma 90.00
loop_
_atom_site_label
_atom_site_fract_x
_atom_site_fract_y
_atom_site_fract_z
_atom_site_occupancy
Tc1 0.250 0.250 0.250 1
As1 0.000 0.000 0.000 1
C1 0.000 0.000 0.500 1

---

Model b:
# Tc2AsC (PBE, relaxed)
# volume: 16.134 Å³ per atom
data_Tc2AsC
_chemical_formula_sum 'Tc8 As4 C4'
_space_group_name_H-M_alt 'I -4 2 d'
_space_group_IT_number 122
_space_group_name_Hall 'I -4 2bw'
_cell_length_a 5.181
_cell_length_b 5.181
_cell_length_c 9.615
_cell_angle_alpha 90.00
_cell_angle_beta 90.00
_cell_angle_gamma 90.00
loop_
_atom_site_label
_atom_site_fract_x
_atom_site_fract_y
_atom_site_fract_z
_atom_site_occupancy
Tc1 0.175 0.250 0.125 1
As1 0.000 0.000 0.500 1
C1 0.000 0.000 0.000 1

---

Which structure loses on stability? model a does.

---

Model a:
# TeAsC2 (PBE, relaxed)
# volume: 13.551 Å³ per atom
data_TeAsC2
_chemical_formula_sum 'Te4 As4 C8'
_space_group_name_H-M_alt 'F m -3 m'
_space_group_IT_number 225
_space_group_name_Hall '-F 4 2 3'
_cell_length_a 6.008
_cell_length_b 6.008
_cell_length_c 6.008
_cell_angle_alpha 90.00
_cell_angle_beta 90.00
_cell_angle_gamma 90.00
loop_
_atom_site_label
_atom_site_fract_x
_atom_site_fract_y
_atom_site_fract_z
_atom_site_occupancy
Te1 0.000 0.000 0.000 1
As1 0.000 0.000 0.500 1
C1 0.250 0.250 0.250 1

---

Model b:
# TeAsC2 (PBE, relaxed)
# volume: 15.268 Å³ per atom
data_TeAsC2
_chemical_formula_sum 'Te4 As4 C8'
_space_group_name_H-M_alt 'I -4 2 d'
_space_group_IT_number 122
_space_group_name_Hall 'I -4 2bw'
_cell_length_a 5.532
_cell_length_b 5.532
_cell_length_c 7.983
_cell_angle_alpha 90.00
_cell_angle_beta 90.00
_cell_angle_gamma 90.00
loop_
_atom_site_label
_atom_site_fract_x
_atom_site_fract_y
_atom_site_fract_z
_atom_site_occupancy
Te1 0.000 0.000 0.000 1
As1 0.000 0.000 0.500 1
C1 0.180 0.250 0.625 1

---

Which structure loses on stability? model a does.

---

Model a:
# Th3As2C (PBE, relaxed)
# volume: 24.756 Å³ per atom
data_Th3As2C
_chemical_formula_sum 'Th6 As4 C2'
_space_group_name_H-M_alt 'I 4/m m m'
_space_group_IT_number 139
_space_group_name_Hall '-I 4 2'
_cell_length_a 4.134
_cell_length_b 4.134
_cell_length_c 17.383
_cell_angle_alpha 90.00
_cell_angle_beta 90.00
_cell_angle_gamma 90.00
loop_
_atom_site_label
_atom_site_fract_x
_atom_site_fract_y
_atom_site_fract_z
_atom_site_occupancy
Th1 0.000 0.000 0.000 1
Th2 0.000 0.000 0.352 1
As1 0.000 0.000 0.172 1
C1 0.000 0.000 0.500 1

---

Model b:
# Th3As2C (PBE, relaxed)
# volume: 24.579 Å³ per atom
data_Th3As2C
_chemical_formula_sum 'Th12 As8 C4'
_space_group_name_H-M_alt 'C 1 2/c 1'
_space_group_IT_number 15
_cell_length_a 13.168
_cell_length_b 5.884
_cell_length_c 7.991
_cell_angle_alpha 90.00
_cell_angle_beta 107.66
_cell_angle_gamma 90.00
loop_
_space_group_symop_operation_xyz
'x,y,z'
'-x,-y,-z'
'-x,y,-z+1/2'
'x,-y,z+1/2'
'x+1/2,y+1/2,z'
'-x+1/2,-y+1/2,-z'
'-x+1/2,y+1/2,-z+1/2'
'x+1/2,-y+1/2,z+1/2'
loop_
_atom_site_label
_atom_site_fract_x
_atom_site_fract_y
_atom_site_fract_z
_atom_site_occupancy
Th1 0.000 0.018 0.250 1
Th2 0.143 0.500 0.071 1
As1 0.175 0.000 0.087 1
C1 0.000 0.472 0.250 1

---

Which structure loses on stability? model a does.

---

Model a:
# TlAs3C (PBE, relaxed)
# volume: 18.952 Å³ per atom
data_TlAs3C
_chemical_formula_sum 'Tl1 As3 C1'
_space_group_name_H-M_alt 'P m -3 m'
_space_group_IT_number 221
_space_group_name_Hall '-P 4 2 3'
_cell_length_a 4.559
_cell_length_b 4.559
_cell_length_c 4.559
_cell_angle_alpha 90.00
_cell_angle_beta 90.00
_cell_angle_gamma 90.00
loop_
_atom_site_label
_atom_site_fract_x
_atom_site_fract_y
_atom_site_fract_z
_atom_site_occupancy
Tl1 0.000 0.000 0.000 1
As1 0.000 0.500 0.500 1
C1 0.500 0.500 0.500 1

---

Model b:
# TlAs3C (PBE, relaxed)
# volume: 31.127 Å³ per atom
data_TlAs3C
_chemical_formula_sum 'Tl1 As3 C1'
_space_group_name_H-M_alt 'P m -3 m'
_space_group_IT_number 221
_space_group_name_Hall '-P 4 2 3'
_cell_length_a 5.379
_cell_length_b 5.379
_cell_length_c 5.379
_cell_angle_alpha 90.00
_cell_angle_beta 90.00
_cell_angle_gamma 90.00
loop_
_atom_site_label
_atom_site_fract_x
_atom_site_fract_y
_atom_site_fract_z
_atom_site_occupancy
Tl1 0.000 0.000 0.000 1
As1 0.000 0.000 0.500 1
C1 0.500 0.500 0.500 1

---

Which structure loses on stability? model b does.

---

Model a:
# Tl2AsC (PBE, relaxed)
# volume: 24.505 Å³ per atom
data_Tl2AsC
_chemical_formula_sum 'Tl8 As4 C4'
_space_group_name_H-M_alt 'I -4 2 d'
_space_group_IT_number 122
_space_group_name_Hall 'I -4 2bw'
_cell_length_a 5.940
_cell_length_b 5.940
_cell_length_c 11.112
_cell_angle_alpha 90.00
_cell_angle_beta 90.00
_cell_angle_gamma 90.00
loop_
_atom_site_label
_atom_site_fract_x
_atom_site_fract_y
_atom_site_fract_z
_atom_site_occupancy
Tl1 0.180 0.250 0.125 1
As1 0.000 0.000 0.500 1
C1 0.000 0.000 0.000 1

---

Model b:
# Tl2AsC (PBE, relaxed)
# volume: 21.389 Å³ per atom
data_Tl2AsC
_chemical_formula_sum 'Tl8 As4 C4'
_space_group_name_H-M_alt 'F m -3 m'
_space_group_IT_number 225
_space_group_name_Hall '-F 4 2 3'
_cell_length_a 6.995
_cell_length_b 6.995
_cell_length_c 6.995
_cell_angle_alpha 90.00
_cell_angle_beta 90.00
_cell_angle_gamma 90.00
loop_
_atom_site_label
_atom_site_fract_x
_atom_site_fract_y
_atom_site_fract_z
_atom_site_occupancy
Tl1 0.250 0.250 0.250 1
As1 0.000 0.000 0.000 1
C1 0.000 0.000 0.500 1

---

Which structure loses on stability? model b does.

---

Model a:
# TlAsC3 (PBE, relaxed)
# volume: 17.183 Å³ per atom
data_TlAsC3
_chemical_formula_sum 'Tl1 As1 C3'
_space_group_name_H-M_alt 'P m -3 m'
_space_group_IT_number 221
_space_group_name_Hall '-P 4 2 3'
_cell_length_a 4.413
_cell_length_b 4.413
_cell_length_c 4.413
_cell_angle_alpha 90.00
_cell_angle_beta 90.00
_cell_angle_gamma 90.00
loop_
_atom_site_label
_atom_site_fract_x
_atom_site_fract_y
_atom_site_fract_z
_atom_site_occupancy
Tl1 0.000 0.000 0.000 1
As1 0.500 0.500 0.500 1
C1 0.000 0.000 0.500 1

---

Model b:
# TlAsC3 (PBE, relaxed)
# volume: 13.449 Å³ per atom
data_TlAsC3
_chemical_formula_sum 'Tl1 As1 C3'
_space_group_name_H-M_alt 'P m -3 m'
_space_group_IT_number 221
_space_group_name_Hall '-P 4 2 3'
_cell_length_a 4.066
_cell_length_b 4.066
_cell_length_c 4.066
_cell_angle_alpha 90.00
_cell_angle_beta 90.00
_cell_angle_gamma 90.00
loop_
_atom_site_label
_atom_site_fract_x
_atom_site_fract_y
_atom_site_fract_z
_atom_site_occupancy
Tl1 0.000 0.000 0.000 1
As1 0.500 0.500 0.500 1
C1 0.000 0.500 0.500 1

---

Which structure loses on stability? model a does.

---

Model a:
# Tm4AsC2 (PBE, relaxed)
# volume: 20.502 Å³ per atom
data_Tm4AsC2
_chemical_formula_sum 'Tm16 As4 C8'
_space_group_name_H-M_alt 'I 41/a m d'
_space_group_IT_number 141
_cell_length_a 8.214
_cell_length_b 8.214
_cell_length_c 8.508
_cell_angle_alpha 90.00
_cell_angle_beta 90.00
_cell_angle_gamma 90.00
loop_
_space_group_symop_operation_xyz
'x,y,z'
'-x,-y,-z'
'-y+1/4,x+3/4,z+1/4'
'y+1/4,-x+3/4,-z+1/4'
'-x+1/2,-y,z+1/2'
'x+1/2,y,-z+1/2'
'y+1/4,-x+1/4,z+3/4'
'-y+1/4,x+1/4,-z+3/4'
'x,-y,-z'
'-x,y,z'
'-y+1/4,-x+1/4,-z+3/4'
'y+1/4,x+1/4,z+3/4'
'-x+1/2,y,-z+1/2'
'x+1/2,-y,z+1/2'
'y+1/4,x+3/4,-z+1/4'
'-y+1/4,-x+3/4,z+1/4'
'x+1/2,y+1/2,z+1/2'
'-x+1/2,-y+1/2,-z+1/2'
'-y+3/4,x+1/4,z+3/4'
'y+3/4,-x+1/4,-z+3/4'
'-x,-y+1/2,z'
'x,y+1/2,-z'
'y+3/4,-x+3/4,z+1/4'
'-y+3/4,x+3/4,-z+1/4'
'x+1/2,-y+1/2,-z+1/2'
'-x+1/2,y+1/2,z+1/2'
'-y+3/4,-x+3/4,-z+1/4'
'y+3/4,x+3/4,z+1/4'
'-x,y+1/2,-z'
'x,-y+1/2,z'
'y+3/4,x+1/4,-z+3/4'
'-y+3/4,-x+1/4,z+3/4'
loop_
_atom_site_label
_atom_site_fract_x
_atom_site_fract_y
_atom_site_fract_z
_atom_site_occupancy
Tm1 0.000 0.065 0.230 1
As1 0.000 0.250 0.875 1
C1 0.000 0.000 0.500 1

---

Model b:
# Tm4AsC2 (PBE, relaxed)
# volume: 19.341 Å³ per atom
data_Tm4AsC2
_chemical_formula_sum 'Tm16 As4 C8'
_space_group_name_H-M_alt 'C m c m'
_space_group_IT_number 63
_space_group_name_Hall '-C 2c 2'
_cell_length_a 3.714
_cell_length_b 11.917
_cell_length_c 12.235
_cell_angle_alpha 90.00
_cell_angle_beta 90.00
_cell_angle_gamma 90.00
loop_
_atom_site_label
_atom_site_fract_x
_atom_site_fract_y
_atom_site_fract_z
_atom_site_occupancy
Tm1 0.000 0.000 0.000 1
Tm2 0.000 0.264 0.107 1
Tm3 0.000 0.434 0.750 1
As1 0.000 0.111 0.750 1
C1 0.000 0.365 0.560 1

---

Which structure loses on stability? model a does.

---

Model a:
# V5As2C (PBE, relaxed)
# volume: 14.320 Å³ per atom
data_V5As2C
_chemical_formula_sum 'V20 As8 C4'
_space_group_name_H-M_alt 'P n m a'
_space_group_IT_number 62
_cell_length_a 8.068
_cell_length_b 4.076
_cell_length_c 13.935
_cell_angle_alpha 90.00
_cell_angle_beta 90.00
_cell_angle_gamma 90.00
loop_
_space_group_symop_operation_xyz
'x,y,z'
'-x,-y,-z'
'-x+1/2,-y,z+1/2'
'x+1/2,y,-z+1/2'
'x+1/2,-y+1/2,-z+1/2'
'-x+1/2,y+1/2,z+1/2'
'-x,y+1/2,-z'
'x,-y+1/2,z'
loop_
_atom_site_label
_atom_site_fract_x
_atom_site_fract_y
_atom_site_fract_z
_atom_site_occupancy
V1 0.051 0.250 0.181 1
V2 0.052 0.250 0.438 1
V3 0.160 0.250 0.617 1
V4 0.227 0.250 0.027 1
V5 0.244 0.250 0.824 1
As1 0.023 0.750 0.083 1
As2 0.165 0.750 0.715 1
C1 0.083 0.750 0.430 1

---

Model b:
# V5As2C (PBE, relaxed)
# volume: 16.130 Å³ per atom
data_V5As2C
_chemical_formula_sum 'V20 As8 C4'
_space_group_name_H-M_alt 'C m c m'
_space_group_IT_number 63
_space_group_name_Hall '-C 2c 2'
_cell_length_a 4.110
_cell_length_b 12.344
_cell_length_c 10.174
_cell_angle_alpha 90.00
_cell_angle_beta 90.00
_cell_angle_gamma 90.00
loop_
_atom_site_label
_atom_site_fract_x
_atom_site_fract_y
_atom_site_fract_z
_atom_site_occupancy
V1 0.000 0.086 0.126 1
V2 0.000 0.279 0.064 1
V3 0.000 0.284 0.750 1
As1 0.000 0.115 0.610 1
C1 0.000 0.212 0.250 1

---

Which structure loses on stability? model b does.

---

Model a:
# AsW2C (PBE, relaxed)
# volume: 13.111 Å³ per atom
data_AsW2C
_chemical_formula_sum 'As4 W8 C4'
_space_group_name_H-M_alt 'F m -3 m'
_space_group_IT_number 225
_space_group_name_Hall '-F 4 2 3'
_cell_length_a 5.942
_cell_length_b 5.942
_cell_length_c 5.942
_cell_angle_alpha 90.00
_cell_angle_beta 90.00
_cell_angle_gamma 90.00
loop_
_atom_site_label
_atom_site_fract_x
_atom_site_fract_y
_atom_site_fract_z
_atom_site_occupancy
As1 0.000 0.000 0.000 1
W1 0.250 0.250 0.250 1
C1 0.000 0.000 0.500 1

---

Model b:
# AsW2C (PBE, relaxed)
# volume: 17.158 Å³ per atom
data_AsW2C
_chemical_formula_sum 'As4 W8 C4'
_space_group_name_H-M_alt 'I -4 2 d'
_space_group_IT_number 122
_space_group_name_Hall 'I -4 2bw'
_cell_length_a 4.812
_cell_length_b 4.812
_cell_length_c 11.858
_cell_angle_alpha 90.00
_cell_angle_beta 90.00
_cell_angle_gamma 90.00
loop_
_atom_site_label
_atom_site_fract_x
_atom_site_fract_y
_atom_site_fract_z
_atom_site_occupancy
As1 0.000 0.000 0.000 1
W1 0.151 0.250 0.625 1
C1 0.000 0.000 0.500 1

---

Which structure loses on stability? model a does.

---

Model a:
# YAsC3 (PBE, relaxed)
# volume: 12.566 Å³ per atom
data_YAsC3
_chemical_formula_sum 'Y1 As1 C3'
_space_group_name_H-M_alt 'P m -3 m'
_space_group_IT_number 221
_space_group_name_Hall '-P 4 2 3'
_cell_length_a 3.975
_cell_length_b 3.975
_cell_length_c 3.975
_cell_angle_alpha 90.00
_cell_angle_beta 90.00
_cell_angle_gamma 90.00
loop_
_atom_site_label
_atom_site_fract_x
_atom_site_fract_y
_atom_site_fract_z
_atom_site_occupancy
Y1 0.000 0.000 0.000 1
As1 0.500 0.500 0.500 1
C1 0.000 0.500 0.500 1

---

Model b:
# YAsC3 (PBE, relaxed)
# volume: 18.146 Å³ per atom
data_YAsC3
_chemical_formula_sum 'Y1 As1 C3'
_space_group_name_H-M_alt 'P m -3 m'
_space_group_IT_number 221
_space_group_name_Hall '-P 4 2 3'
_cell_length_a 4.493
_cell_length_b 4.493
_cell_length_c 4.493
_cell_angle_alpha 90.00
_cell_angle_beta 90.00
_cell_angle_gamma 90.00
loop_
_atom_site_label
_atom_site_fract_x
_atom_site_fract_y
_atom_site_fract_z
_atom_site_occupancy
Y1 0.000 0.000 0.000 1
As1 0.500 0.500 0.500 1
C1 0.000 0.000 0.500 1

---

Which structure loses on stability? model b does.